No. 1
# MgSnW2

A crystal of MgSnW2 relaxed with PBEsol (SCAN, Alexandria).

- energy of formation (meV per atom) = 982
- raw total energy (eV per cell) = -705.37
- ρ (g/cm³) = 12.4
- density of states at the Fermi level (states/eV per cell) = 18.5
- magnetic moment (μB/f.u.) = 0.0

a = 6.486 Å, b = 6.486 Å, c = 6.486 Å
α = 90.00°, β = 90.00°, γ = 90.00°
Space group Fm-3m (No. 225)
Inequivalent atoms, fractional coordinates:
Mg 0.000 0.000 0.000 x4
Sn 0.000 0.000 0.500 x4
W 0.250 0.250 0.250 x8

No. 2
# YMg2Sn2

A crystal of YMg2Sn2 relaxed with PBEsol (SCAN, Alexandria).

- energy of formation (meV per atom) = -403
- raw total energy (eV per cell) = -223.30
- ρ (g/cm³) = 5.0
- density of states at the Fermi level (states/eV per cell) = 3.7
- magnetic moment (μB/f.u.) = 0.0

a = 4.363 Å, b = 4.363 Å, c = 12.994 Å
α = 90.00°, β = 90.00°, γ = 90.00°
Space group I4/mmm (No. 139)
Inequivalent atoms, fractional coordinates:
Y 0.000 0.000 0.000 x2
Mg 0.000 0.500 0.250 x4
Sn 0.000 0.000 0.393 x4

No. 3
# Mg2ZnSn2

A crystal of Mg2ZnSn2 relaxed with PBEsol (SCAN, Alexandria).

- energy of formation (meV per atom) = 209
- raw total energy (eV per cell) = -188.52
- ρ (g/cm³) = 4.6
- density of states at the Fermi level (states/eV per cell) = 3.7
- magnetic moment (μB/f.u.) = 0.0

a = 4.564 Å, b = 4.564 Å, c = 12.288 Å
α = 90.00°, β = 90.00°, γ = 90.00°
Space group I4/mmm (No. 139)
Inequivalent atoms, fractional coordinates:
Mg 0.000 0.500 0.250 x4
Zn 0.000 0.000 0.000 x2
Sn 0.000 0.000 0.390 x4

No. 4
# Sr7Mg

A crystal of Sr7Mg relaxed with PBEsol (SCAN, Alexandria).

- energy of formation (meV per atom) = 61
- raw total energy (eV per cell) = -641.66
- ρ (g/cm³) = 2.8
- density of states at the Fermi level (states/eV per cell) = 31.6
- magnetic moment (μB/f.u.) = 1.2

a = 11.523 Å, b = 11.523 Å, c = 11.523 Å
α = 90.00°, β = 90.00°, γ = 90.00°
Space group Fm-3m (No. 225)
Inequivalent atoms, fractional coordinates:
Sr 0.000 0.000 0.000 x4
Sr 0.000 0.250 0.250 x24
Mg 0.000 0.000 0.500 x4

No. 5
# SrMg5

A crystal of SrMg5 relaxed with PBEsol (SCAN, Alexandria).

- energy of formation (meV per atom) = 4
- raw total energy (eV per cell) = -47.12
- ρ (g/cm³) = 2.2
- ΔE to the lowest computed polymorph (eV/atom) = 0.057
- density of states at the Fermi level (states/eV per cell) = 3.1
- magnetic moment (μB/f.u.) = 0.0

a = 3.630 Å, b = 3.630 Å, c = 11.957 Å
α = 90.00°, β = 90.00°, γ = 90.00°
Space group P4/mmm (No. 123)
Inequivalent atoms, fractional coordinates:
Sr 0.000 0.000 0.000 x1
Mg 0.000 0.000 0.351 x2
Mg 0.500 0.500 0.206 x2
Mg 0.500 0.500 0.500 x1

No. 6
# Sr6Mg7

A crystal of Sr6Mg7 relaxed with PBEsol (SCAN, Alexandria).

- energy of formation (meV per atom) = -43
- raw total energy (eV per cell) = -507.07
- ρ (g/cm³) = 2.6
- density of states at the Fermi level (states/eV per cell) = 32.1
- magnetic moment (μB/f.u.) = 0.5

a = 6.5285 Å, b = 6.5285 Å, c = 36.2991 Å
α = 90.00°, β = 90.00°, γ = 120.00°
Space group R-3m (No. 166, hexagonal axes)
Inequivalent atoms, fractional coordinates:
Sr 0.0000 0.0000 0.0522 x6
Sr 0.0000 0.0000 0.1532 x6
Sr 0.0000 0.0000 0.3311 x6
Mg 0.0000 0.0000 0.5000 x3
Mg 0.0019 0.5009 0.0945 x18

No. 7
# Sr3Mg4

A crystal of Sr3Mg4 relaxed with PBEsol (SCAN, Alexandria).

- energy of formation (meV per atom) = -6
- raw total energy (eV per cell) = -173.53
- ρ (g/cm³) = 2.5
- density of states at the Fermi level (states/eV per cell) = 9.8
- magnetic moment (μB/f.u.) = 0.1

a = 3.903 Å, b = 3.903 Å, c = 31.184 Å
α = 90.00°, β = 90.00°, γ = 90.00°
Space group I4/mmm (No. 139)
Inequivalent atoms, fractional coordinates:
Sr 0.000 0.000 0.000 x2
Sr 0.000 0.000 0.303 x4
Mg 0.000 0.000 0.122 x4
Mg 0.000 0.000 0.425 x4

No. 8
# SrMg

A crystal of SrMg relaxed with PBEsol (SCAN, Alexandria).

- energy of formation (meV per atom) = 7
- raw total energy (eV per cell) = -163.41
- ρ (g/cm³) = 2.4
- density of states at the Fermi level (states/eV per cell) = 10.7
- magnetic moment (μB/f.u.) = 0.1

a = 5.301 Å, b = 10.695 Å, c = 8.063 Å
α = 90.00°, β = 90.00°, γ = 90.00°
Space group Amm2 (No. 38)
Inequivalent atoms, fractional coordinates:
Sr 0.000 0.000 0.000 x2
Sr 0.500 0.196 0.319 x4
Mg 0.000 0.145 0.596 x4
Mg 0.500 0.000 0.680 x2